Computed, not measured: a relaxed structure of RbBa3Rh at the PBE level of DFT.

Excess energy over the best structure of this formula in the dataset   0.82 kcal/mol of atoms
Total magnetization   0.0 μB per formula unit
ΔH_f (0 K)   -0.06 eV/atom

a b c (Å): 6.3436 6.3436 6.3436
angles (deg): 90.00 90.00 90.00
With the nearest neighbours (Å) after each atom.
Space group Pm-3m (No. 221)
Symmetry-distinct sites (fractional):
Rb  0.0000  0.0000  0.0000 x1  12 Ba 4.49
Ba  0.0000  0.5000  0.5000 x3  2 Rh 3.17
Rh  0.5000  0.5000  0.5000 x1  6 Ba 3.17

---

Computed, not measured: a relaxed structure of PrSn3Ru3 at the PBE level of DFT.

Total magnetization   0.0 μB per formula unit
ΔH_f (0 K)   0.41 eV/atom

a b c (Å): 7.1678 7.1678 7.1678
angles (deg): 90.00 90.00 90.00
With the nearest neighbours (Å) after each atom.
Space group Pm-3n (No. 223)
Symmetry-distinct sites (fractional):
Pr  0.0000  0.0000  0.0000 x2  12 Sn 4.01, 12 Ru 4.01
Sn  0.0000  0.2500  0.5000 x6  4 Ru 2.53
Ru  0.0000  0.5000  0.2500 x6  4 Sn 2.53

---

Computed, not measured: a relaxed structure of SrTaW at the PBE level of DFT.

Excess energy over the best structure of this formula in the dataset   18.79 kcal/mol of atoms
Total magnetization   0.0 μB per formula unit
ΔH_f (0 K)   1.51 eV/atom

a b c (Å): 6.6582 6.6582 6.6582
angles (deg): 90.00 90.00 90.00
With the nearest neighbours (Å) after each atom.
Space group F-43m (No. 216)
Symmetry-distinct sites (fractional):
Sr  0.0000  0.0000  0.0000 x4  4 W 2.88
Ta  0.0000  0.0000  0.5000 x4  4 W 2.88
W  0.2500  0.2500  0.2500 x4  4 Ta 2.88, 4 Sr 2.88

---

Computed, not measured: a relaxed structure of TcMoSe2 at the PBE level of DFT.

Excess energy over the best structure of this formula in the dataset   11.27 kcal/mol of atoms
Total magnetization   0.0 μB per formula unit

a b c (Å): 3.0801 4.9231 10.0976
angles (deg): 90.00 90.00 90.00
With the nearest neighbours (Å) after each atom.
Space group Cmm2 (No. 35)
Symmetry-distinct sites (fractional):
Tc  0.0000  0.0000  0.0000 x2  2 Se 2.55, 2 Mo 2.67
Mo  0.0000  0.5000  0.2162 x2  2 Se 2.59, 2 Tc 2.67
Se  0.0000  0.0000  0.4221 x2  2 Mo 2.59
Se  0.0000  0.5000  0.7990 x2  2 Tc 2.55

---

Computed, not measured: a relaxed structure of Sm6YEr12 at the PBE level of DFT.

Excess energy over the best structure of this formula in the dataset   2.11 kcal/mol of atoms
Total magnetization   0.0 μB per formula unit
ΔH_f (0 K)   0.22 eV/atom

a b c (Å): 13.1419 13.1419 12.5747
angles (deg): 90.00 90.00 120.00
With the nearest neighbours (Å) after each atom.
Space group R-3m (No. 166, hexagonal axes)
Symmetry-distinct sites (fractional):
Sm  0.0385  0.5192  0.1173 x18  1 Sm 3.08, 1 Y 3.41
Y  0.0000  0.0000  0.5000 x3  6 Sm 3.41
Er  0.0000  0.2572  0.0000 x18  6 Er 3.33-3.52, 4 Sm 3.45-3.54
Er  0.0910  0.1821  0.7645 x18  6 Er 3.33-3.59, 2 Sm 3.67

---

Computed, not measured: a relaxed structure of SmLuRuPb at the PBE level of DFT.

Total magnetization   0.0 μB per formula unit
ΔH_f (0 K)   -0.24 eV/atom

a b c (Å): 7.2476 7.2476 7.2476
angles (deg): 90.00 90.00 90.00
With the nearest neighbours (Å) after each atom.
Space group F-43m (No. 216)
Symmetry-distinct sites (fractional):
Sm  0.0000  0.0000  0.0000 x4  4 Ru 3.14, 4 Pb 3.14
Lu  0.0000  0.0000  0.5000 x4  4 Pb 3.14, 4 Ru 3.14
Ru  0.2500  0.2500  0.2500 x4  4 Lu 3.14, 4 Sm 3.14
Pb  0.2500  0.2500  0.7500 x4  4 Sm 3.14, 4 Lu 3.14

---

Computed, not measured: a relaxed structure of Nb3S4 at the PBE level of DFT.

Excess energy over the best structure of this formula in the dataset   1.20 kcal/mol of atoms
Total magnetization   0.0 μB per formula unit

a b c (Å): 3.3104 3.3104 13.6291
angles (deg): 90.00 90.00 120.00
With the nearest neighbours (Å) after each atom.
Space group P-3m1 (No. 164)
Symmetry-distinct sites (fractional):
Nb  0.0000  0.0000  0.0000 x1  6 S 2.55
Nb  0.0000  0.0000  0.2446 x2  6 S 2.48-2.53
S  0.3333  0.6667  0.6391 x2  3 Nb 2.48
S  0.3333  0.6667  0.8766 x2  6 Nb 2.53-2.55

---

Computed, not measured: a relaxed structure of Y4Mn at the PBE level of DFT.

Excess energy over the best structure of this formula in the dataset   0.24 kcal/mol of atoms
Total magnetization   0.3 μB per formula unit
ΔH_f (0 K)   0.24 eV/atom

a b c (Å): 5.3261 5.3261 5.3261
angles (deg): 90.00 90.00 90.00
With the nearest neighbours (Å) after each atom.
Space group Pm-3m (No. 221)
Symmetry-distinct sites (fractional):
Y  0.0000  0.0000  0.0000 x1  12 Y 3.77
Y  0.0000  0.5000  0.5000 x3  2 Mn 2.66
Mn  0.5000  0.5000  0.5000 x1  6 Y 2.66